Pm2HRu | PBE | relaxed

Cell: 5.478 5.692 10.812 Å, 94.15 90.00 90.00°
Element x y z (fractional)
Pm1 0.750 0.964 0.885
Pm2 0.250 0.036 0.115
Pm3 0.750 0.536 0.615
Pm4 0.250 0.464 0.385
Pm5 0.751 0.490 0.133
Pm6 0.249 0.510 0.867
Pm7 0.751 0.010 0.367
Pm8 0.249 0.990 0.633
H1 0.248 0.558 0.624
H2 0.752 0.442 0.376
H3 0.248 0.942 0.876
H4 0.752 0.058 0.124
Ru1 0.251 0.951 0.363
Ru2 0.749 0.049 0.637
Ru3 0.251 0.549 0.137
Ru4 0.749 0.451 0.863

Results
Polymorph energy (0 for the lowest one) = 0.0 meV/atom
Volume = 84.1 Å³/f.u.



PmH6Ru2 | PBE | relaxed

Cell: 4.209 4.209 6.231 Å, 116.26 116.26 93.79°
Element x y z (fractional)
Pm1 0.500 0.000 0.000
H1 0.102 0.216 0.715
H2 0.284 0.398 0.285
H3 0.898 0.784 0.285
H4 0.716 0.602 0.715
H5 0.613 0.113 0.692
H6 0.387 0.887 0.308
Ru1 0.254 0.246 0.500
Ru2 0.746 0.754 0.500

Results
Polymorph energy (0 for the lowest one) = 0.0 meV/atom
Volume = 83.9 Å³/f.u.



PmHRu | PBE | relaxed

Cell: 3.518 3.518 8.038 Å, 90.00 90.00 89.98°
Element x y z (fractional)
Ru1 0.837 0.837 0.500
Ru2 0.337 0.337 0.500
H1 0.336 0.836 0.886
H2 0.836 0.336 0.114
Pm1 0.336 0.836 0.182
Pm2 0.836 0.336 0.818

Results
Polymorph energy (0 for the lowest one) = 0.0 meV/atom
Volume = 49.7 Å³/f.u.



Pm12H5Ru3 | PBE | relaxed

Cell: 13.395 13.395 13.395 Å, 109.47 109.47 109.47°
Element x y z (fractional)
Ru1 0.750 0.375 0.125
Ru2 0.875 0.750 0.125
Ru3 0.375 0.750 0.625
Ru4 0.250 0.125 0.375
Ru5 0.875 0.125 0.250
Ru6 0.375 0.625 0.250
Ru7 0.625 0.375 0.750
Ru8 0.125 0.875 0.750
Ru9 0.750 0.875 0.625
Ru10 0.625 0.250 0.375
Ru11 0.125 0.250 0.875
Ru12 0.250 0.625 0.875
H1 0.125 0.375 0.250
H2 0.000 0.500 0.000
H3 0.000 0.000 0.000
H4 0.375 0.250 0.125
H5 0.500 0.000 0.500
H6 0.500 0.500 0.000
H7 0.125 0.750 0.375
H8 0.750 0.125 0.875
H9 0.750 0.625 0.375
H10 0.375 0.125 0.750
H11 0.625 0.875 0.250
H12 0.500 0.500 0.500
H13 0.500 0.000 0.000
H14 0.000 0.000 0.500
H15 0.250 0.375 0.625
H16 0.250 0.875 0.125
H17 0.000 0.500 0.500
H18 0.875 0.250 0.625
H19 0.625 0.750 0.875
H20 0.875 0.625 0.750
Pm1 0.719 0.123 0.031
Pm2 0.312 0.531 0.408
Pm3 0.969 0.377 0.281
Pm4 0.531 0.219 0.123
Pm5 0.596 0.719 0.688
Pm6 0.969 0.592 0.188
Pm7 0.312 0.781 0.404
Pm8 0.092 0.904 0.123
Pm9 0.592 0.969 0.688
Pm10 0.719 0.596 0.188
Pm11 0.781 0.469 0.377
Pm12 0.812 0.908 0.031
Pm13 0.123 0.719 0.531
Pm14 0.377 0.408 0.096
Pm15 0.096 0.908 0.377
Pm16 0.404 0.123 0.592
Pm17 0.096 0.188 0.219
Pm18 0.469 0.688 0.092
Pm19 0.812 0.904 0.281
Pm20 0.123 0.404 0.092
Pm21 0.377 0.969 0.781
Pm22 0.592 0.623 0.404
Pm23 0.908 0.812 0.531
Pm24 0.781 0.312 0.904
Pm25 0.408 0.377 0.596
Pm26 0.092 0.188 0.469
Pm27 0.219 0.688 0.096
Pm28 0.188 0.096 0.719
Pm29 0.623 0.031 0.219
Pm30 0.877 0.596 0.908
Pm31 0.531 0.312 0.908
Pm32 0.596 0.877 0.408
Pm33 0.904 0.812 0.781
Pm34 0.904 0.092 0.623
Pm35 0.877 0.281 0.469
Pm36 0.188 0.092 0.969
Pm37 0.623 0.592 0.904
Pm38 0.408 0.031 0.312
Pm39 0.281 0.404 0.812
Pm40 0.219 0.531 0.623
Pm41 0.908 0.096 0.877
Pm42 0.688 0.219 0.596
Pm43 0.469 0.781 0.877
Pm44 0.031 0.408 0.812
Pm45 0.404 0.281 0.312
Pm46 0.031 0.623 0.719
Pm47 0.688 0.469 0.592
Pm48 0.281 0.877 0.969

Results
VASP energy = -0.39183 Ry per atom
Volume = 462.6 Å³/f.u.



PmSbH2Ru | PBE | relaxed

Cell: 4.236 5.830 6.169 Å, 90.00 90.00 111.30°
Element x y z (fractional)
Pm1 0.710 0.421 0.750
Pm2 0.290 0.579 0.250
Sb1 0.426 0.851 0.750
Sb2 0.574 0.149 0.250
H1 0.158 0.315 0.937
H2 0.842 0.685 0.063
H3 0.158 0.315 0.563
H4 0.842 0.685 0.437
Ru1 0.000 0.000 0.000
Ru2 0.000 0.000 0.500

Results
VASP energy = -0.40565 Ry per atom
Volume = 71.0 Å³/f.u.



PmSiHRu | PBE | relaxed

Cell: 4.149 4.149 7.383 Å, 90.00 90.00 90.00°
Element x y z (fractional)
Pm1 0.500 0.000 0.664
Pm2 0.000 0.500 0.336
Si1 0.000 0.500 0.843
Si2 0.500 0.000 0.157
H1 0.000 0.000 0.500
H2 0.500 0.500 0.500
Ru1 0.500 0.500 0.000
Ru2 0.000 0.000 0.000

Results
VASP energy = -0.47573 Ry per atom
Volume = 63.5 Å³/f.u.



PmSiHRu2 | PBE | relaxed

Cell: 3.589 5.801 7.425 Å, 90.00 90.00 108.02°
Element x y z (fractional)
Pm1 0.449 0.897 0.750
Pm2 0.551 0.103 0.250
Si1 0.726 0.453 0.750
Si2 0.274 0.547 0.250
H1 0.000 0.000 0.000
H2 0.000 0.000 0.500
Ru1 0.159 0.318 0.948
Ru2 0.841 0.682 0.052
Ru3 0.159 0.318 0.552
Ru4 0.841 0.682 0.448

Results
VASP energy = -0.50762 Ry per atom
Volume = 73.5 Å³/f.u.



Pm2Si2HRu2 | PBE | relaxed

Cell: 4.123 5.768 5.895 Å, 74.95 69.53 69.06°
Element x y z (fractional)
Pm1 0.564 0.176 0.695
Pm2 0.436 0.824 0.305
Si1 0.162 0.398 0.279
Si2 0.838 0.602 0.721
H1 0.000 0.000 0.000
Ru1 0.203 0.698 0.897
Ru2 0.797 0.302 0.103

Results
VASP energy = -0.49418 Ry per atom
Volume = 121.2 Å³/f.u.



Pm2SnH12Ru3 | PBE | relaxed

Cell: 6.125 6.125 6.125 Å, 62.22 62.22 62.22°
Element x y z (fractional)
Pm1 0.609 0.609 0.609
Pm2 0.391 0.391 0.391
Sn1 0.000 0.000 0.000
H1 0.315 0.315 0.848
H2 0.854 0.854 0.455
H3 0.455 0.854 0.854
H4 0.848 0.315 0.315
H5 0.854 0.455 0.854
H6 0.315 0.848 0.315
H7 0.685 0.685 0.152
H8 0.146 0.146 0.545
H9 0.545 0.146 0.146
H10 0.152 0.685 0.685
H11 0.146 0.545 0.146
H12 0.685 0.152 0.685
Ru1 0.500 0.000 0.000
Ru2 0.000 0.500 0.000
Ru3 0.000 0.000 0.500

Results
VASP energy = -0.34008 Ry per atom
Volume = 170.6 Å³/f.u.



Pm2ZnH6Ru | PBE | relaxed

Cell: 4.642 4.642 13.669 Å, 80.22 80.22 60.00°
Element x y z (fractional)
Pm1 0.871 0.871 0.387
Pm2 0.129 0.129 0.613
Pm3 0.705 0.705 0.886
Pm4 0.295 0.295 0.114
Zn1 0.582 0.582 0.255
Zn2 0.418 0.418 0.745
H1 0.879 0.346 0.429
H2 0.346 0.879 0.429
H3 0.346 0.346 0.429
H4 0.121 0.654 0.571
H5 0.654 0.121 0.571
H6 0.654 0.654 0.571
H7 0.674 0.199 0.928
H8 0.199 0.674 0.928
H9 0.199 0.199 0.928
H10 0.326 0.801 0.072
H11 0.801 0.326 0.072
H12 0.801 0.801 0.072
Ru1 0.000 0.000 0.000
Ru2 0.500 0.500 0.500

Results
VASP energy = -0.32461 Ry per atom
Volume = 125.1 Å³/f.u.



PmZnH6Ru | PBE | relaxed

Cell: 4.586 4.586 4.440 Å, 90.00 90.00 60.00°
Element x y z (fractional)
Pm1 0.000 0.000 0.000
Zn1 0.667 0.667 0.500
H1 0.026 0.487 0.227
H2 0.487 0.026 0.773
H3 0.487 0.487 0.773
H4 0.026 0.487 0.773
H5 0.487 0.487 0.227
H6 0.487 0.026 0.227
Ru1 0.333 0.333 0.500

Results
VASP energy = -0.30993 Ry per atom
Volume = 80.9 Å³/f.u.



Pm5HS4 | PBE | relaxed

Cell: 3.957 3.957 16.504 Å, 83.12 83.12 60.00°
Element x y z (fractional)
Pm1 0.403 0.403 0.791
Pm2 0.000 0.000 0.000
Pm3 0.597 0.597 0.209
Pm4 0.803 0.803 0.590
Pm5 0.197 0.197 0.410
H1 0.500 0.500 0.500
S1 0.897 0.897 0.309
S2 0.299 0.299 0.104
S3 0.701 0.701 0.896
S4 0.103 0.103 0.691

Results
VASP energy = -0.44338 Ry per atom
Volume = 221.6 Å³/f.u.



PmHS | PBE | relaxed

Cell: 3.740 3.740 4.701 Å, 113.44 113.44 90.00°
Element x y z (fractional)
H1 0.348 0.348 0.696
S1 0.008 0.008 0.016
Pm1 0.644 0.644 0.288

Results
Polymorph energy (0 for the lowest one) = 506.4 meV/atom
Volume = 54.4 Å³/f.u.



PmHS2 | PBE | relaxed

Cell: 4.239 4.239 6.593 Å, 71.25 71.25 60.00°
Element x y z (fractional)
H1 0.000 0.000 0.000
S1 0.089 0.089 0.734
S2 0.911 0.911 0.266
Pm1 0.500 0.500 0.500

Results
Polymorph energy (0 for the lowest one) = 26.6 meV/atom
Volume = 95.3 Å³/f.u.



PmHS | PBE | relaxed

Cell: 4.060 6.601 14.865 Å, 90.00 90.00 90.00°
Element x y z (fractional)
H1 0.444 0.434 0.500
H2 0.944 0.801 0.346
H3 0.944 0.801 0.654
H4 0.944 0.566 0.000
H5 0.444 0.199 0.154
H6 0.444 0.199 0.846
S1 0.944 0.346 0.333
S2 0.944 0.346 0.667
S3 0.944 0.088 0.000
S4 0.444 0.912 0.500
S5 0.444 0.654 0.167
S6 0.444 0.654 0.833
Pm1 0.944 0.352 0.855
Pm2 0.944 0.352 0.145
Pm3 0.444 0.816 0.000
Pm4 0.444 0.648 0.355
Pm5 0.444 0.648 0.645
Pm6 0.944 0.184 0.500

Results
Polymorph energy (0 for the lowest one) = 275.9 meV/atom
Volume = 66.4 Å³/f.u.



PmHS | PBE | relaxed

Cell: 3.837 3.872 3.872 Å, 120.00 90.00 90.00°
Element x y z (fractional)
H1 0.166 0.000 0.000
S1 0.667 0.333 0.667
Pm1 0.167 0.667 0.333

Results
Polymorph energy (0 for the lowest one) = 0.0 meV/atom
Volume = 49.8 Å³/f.u.



PmHS | PBE | relaxed

Cell: 4.455 4.455 4.455 Å, 60.00 60.00 60.00°
Element x y z (fractional)
H1 0.500 0.500 0.500
S1 0.000 0.000 0.000
Pm1 0.250 0.250 0.250

Results
Polymorph energy (0 for the lowest one) = 275.9 meV/atom
Volume = 62.5 Å³/f.u.



PmHS | PBE | relaxed

Cell: 4.300 4.299 6.998 Å, 71.22 71.22 87.34°
Element x y z (fractional)
Pm1 0.262 0.202 0.394
Pm2 0.547 0.487 0.823
H1 0.154 0.594 0.609
H2 0.654 0.095 0.608
S1 0.404 0.844 0.108
S2 0.904 0.345 0.109

Results
Polymorph energy (0 for the lowest one) = 569.2 meV/atom
Volume = 57.9 Å³/f.u.



Pm4HS5 | PBE | relaxed

Cell: 4.005 7.452 9.547 Å, 113.03 102.11 90.00°
Element x y z (fractional)
Pm1 0.280 0.780 0.560
Pm2 0.000 0.747 0.000
Pm3 0.720 0.220 0.440
Pm4 0.000 0.253 0.000
H1 0.500 0.000 0.000
S1 0.837 0.605 0.674
S2 0.837 0.070 0.674
S3 0.163 0.930 0.326
S4 0.500 0.500 0.000
S5 0.163 0.395 0.326

Results
VASP energy = -0.43999 Ry per atom
Volume = 255.4 Å³/f.u.